Density functional theory data (PBE) for crystalline Ce5Tl2Sb at its relaxed geometry.

## Properties
Crystal system: tetragonal
Mass density, Mg/m³: 8.830
Space group: No. 140
Uncorrected formation energy, eV per atom: -0.364

Structure (POSCAR):
```
Ce5Tl2Sb
1.0
8.535 0.000 0.000
0.000 8.535 0.000
-4.268 -4.268 6.357
Ce Tl Sb
10 4 2
Cartesian
1.474 2.794 4.206
5.741 7.061 2.150
0.000 0.000 0.000
4.268 4.268 0.000
-1.474 -2.794 4.206
2.794 -1.474 4.206
-2.794 1.474 4.206
1.474 5.741 2.150
7.061 2.794 2.150
2.794 1.474 2.150
1.100 3.167 0.000
5.368 1.100 0.000
3.167 7.435 0.000
7.435 5.368 0.000
4.268 4.268 3.178
0.000 0.000 3.178
```